Entry from the Alexandria database: crystalline V2Fe3CoP6O24 at its relaxed geometry (PBE+U).

abc: 8.4347 8.4347 8.4347
angles: 61.64 61.64 61.64
Last column: nearest neighbours and their distance in Å.
Positions (direct):
V 0.0000 0.0000 0.0000  6 O 2.10
V 0.4974 0.4974 0.4974  6 O 2.09-2.13
Fe 0.1456 0.1456 0.1456  6 O 1.92-2.12
Fe 0.6446 0.6446 0.6446  6 O 1.93-2.11
Fe 0.8535 0.8535 0.8535  6 O 1.92-2.13
Co 0.3518 0.3518 0.3518  3 O 1.90
P 0.0457 0.7488 0.4524  4 O 1.52-1.57
P 0.2501 0.5461 0.9540  4 O 1.52-1.57
P 0.4524 0.0457 0.7488  4 O 1.52-1.57
P 0.5461 0.9540 0.2501  4 O 1.52-1.57
P 0.7488 0.4524 0.0457  4 O 1.52-1.57
P 0.9540 0.2501 0.5461  4 O 1.52-1.57
O 0.9997 0.1742 0.3929  1 P 1.52
O 0.0035 0.8213 0.6073  1 P 1.52
O 0.0609 0.9051 0.2502  1 P 1.57
O 0.0953 0.7489 0.9391  1 P 1.57
O 0.1084 0.3240 0.5061  1 P 1.53
O 0.1742 0.3929 0.9997  1 P 1.52
O 0.2474 0.5933 0.4372  1 P 1.57
O 0.2502 0.0609 0.9051  1 P 1.57
O 0.3240 0.5061 0.1084  1 P 1.53
O 0.3929 0.9997 0.1742  1 P 1.52
O 0.4050 0.5581 0.7519  1 P 1.57
O 0.4372 0.2474 0.5933  1 P 1.57
O 0.4935 0.8907 0.6774  1 P 1.52
O 0.5061 0.1084 0.3240  1 P 1.53
O 0.5581 0.7519 0.4050  1 P 1.57
O 0.5933 0.4372 0.2474  1 P 1.57
O 0.6073 0.0035 0.8213  1 P 1.52
O 0.6774 0.4935 0.8907  1 P 1.52
O 0.7489 0.9391 0.0953  1 P 1.57
O 0.7519 0.4050 0.5581  1 P 1.57
O 0.8213 0.6073 0.0035  1 P 1.52
O 0.8907 0.6774 0.4935  1 P 1.52
O 0.9051 0.2502 0.0609  1 P 1.57
O 0.9391 0.0953 0.7489  1 P 1.57

Output
- VASP energy: -7.17 eV/atom
- Mass density: 3390 kg/m3
- Total moment: 23.12 μB per cell